(1)
A relaxed structure of Ba2CrIr3O12, computed with PBE+U.

a b c (Å): 7.2083 7.2083 17.3030
angles (deg): 90.00 90.00 120.00
Space group R-3m (No. 166, hexagonal axes)
One atom of each set of equivalent atoms:
Ba1 0.0000 0.0000 0.1555 x6
Cr1 0.0000 0.0000 0.5000 x3
Ir1 0.0000 0.5000 0.0000 x9
O1 0.0706 0.5353 0.3653 x18
O2 0.0718 0.5359 0.1072 x18

The total energy is -6.73 eV per atom.


(2)
A relaxed structure of BaCrIrO6, computed with PBE+U.

a b c (Å): 5.2595 5.2595 5.7488
angles (deg): 90.00 90.00 120.00
Space group P312 (No. 149)
One atom of each set of equivalent atoms:
Ba1 0.0000 0.0000 0.0000 x1
Cr1 0.3333 0.6667 0.5000 x1
Ir1 0.6667 0.3333 0.5000 x1
O1 0.3896 0.0068 0.6876 x6

The total energy is -6.85 eV per atom.


The spin magnetization results, record by record, are as follows: 2.0 1.0 μB per formula unit.
The density of states at the Fermi level results, record by record, are as follows: 37.98 4.73 states/eV/cell.